No. 1
The following is a DFT calculation (PBE-GGA) of a geometry-optimized LiRe2AuBr structure.

Cell lengths 4.4372, 4.1251, 4.4372 Å; angles 90.00, 90.00, 90.00 degrees
Closest atoms and distances in Å follow each position.
Atoms (fractional coordinates):
Br  0.0000  0.5000  0.0000  2 Li 2.06
Li  0.0000  0.0000  0.0000  2 Br 2.06, 4 Re 2.22
Re  0.0000  0.0000  0.5000  2 Li 2.22
Au  0.5000  0.5000  0.5000  8 Re 3.03, 4 Br 3.14
Re  0.5000  0.0000  0.0000  2 Li 2.22

SG	No. 123
theoretical density	13.42	g cm⁻³
E	-4.49	eV per atom

***

No. 2
The following is a DFT calculation (PBE-GGA) of a geometry-optimized LiRhAu2Br structure.

Cell lengths 5.0808, 4.2660, 5.0808 Å; angles 90.00, 90.00, 90.00 degrees
Closest atoms and distances in Å follow each position.
Atoms (fractional coordinates):
Li  0.0000  0.5000  0.0000  2 Br 2.13
Au  0.0000  0.0000  0.5000  2 Br 2.54
Rh  0.5000  0.5000  0.5000  8 Au 3.32, 4 Li 3.59
Br  0.0000  0.0000  0.0000  2 Li 2.13
Au  0.5000  0.0000  0.0000  2 Br 2.54

SG	No. 123
theoretical density	8.80	g cm⁻³
E	-2.73	eV per atom

***

No. 3
The following is a DFT calculation (PBE-GGA) of a geometry-optimized Li2ScAuBr structure.

Cell lengths 4.8817, 5.3015, 4.8817 Å; angles 90.00, 90.00, 90.00 degrees
Closest atoms and distances in Å follow each position.
Atoms (fractional coordinates):
Br  0.5000  0.5000  0.5000  4 Sc 3.45, 8 Li 3.60
Au  0.0000  0.0000  0.0000  4 Li 2.44, 2 Sc 2.65
Li  0.5000  0.0000  0.0000  2 Au 2.44
Sc  0.0000  0.5000  0.0000  2 Au 2.65
Li  0.0000  0.0000  0.5000  2 Au 2.44

SG	No. 123
theoretical density	4.41	g cm⁻³
E	-3.32	eV per atom

***

No. 4
The following is a DFT calculation (PBE-GGA) of a geometry-optimized LiAuSeBr2 structure.

Cell lengths 5.4034, 5.4034, 5.1235 Å; angles 90.00, 90.00, 90.00 degrees
Closest atoms and distances in Å follow each position.
Atoms (fractional coordinates):
Se  0.0000  0.0000  0.5000  2 Au 2.56
Br  0.0000  0.5000  0.0000  2 Au 2.70
Au  0.0000  0.0000  0.0000  2 Se 2.56, 4 Br 2.70
Br  0.5000  0.0000  0.0000  2 Au 2.70
Li  0.5000  0.5000  0.5000  8 Br 3.72, 4 Se 3.82

SG	No. 123
theoretical density	4.91	g cm⁻³
E	-2.56	eV per atom

***

No. 5
The following is a DFT calculation (PBE-GGA) of a geometry-optimized LiAuSe2Br structure.

Cell lengths 5.1163, 5.1163, 5.4414 Å; angles 90.00, 90.00, 90.00 degrees
Closest atoms and distances in Å follow each position.
Atoms (fractional coordinates):
Se  0.5000  0.0000  0.0000  2 Au 2.56
Br  0.0000  0.0000  0.5000  2 Au 2.72
Li  0.5000  0.5000  0.5000  4 Br 3.62, 8 Se 3.73
Au  0.0000  0.0000  0.0000  4 Se 2.56, 2 Br 2.72
Se  0.0000  0.5000  0.0000  2 Au 2.56

SG	No. 123
theoretical density	5.15	g cm⁻³
E	-2.73	eV per atom

***

No. 6
The following is a DFT calculation (PBE-GGA) of a geometry-optimized Li2SnAuBr structure.

Cell lengths 5.6502, 4.9997, 5.6502 Å; angles 90.00, 90.00, 90.00 degrees
Closest atoms and distances in Å follow each position.
Atoms (fractional coordinates):
Li  0.0000  0.0000  0.5000  2 Sn 2.83
Au  0.0000  0.5000  0.0000  2 Sn 2.50
Li  0.5000  0.0000  0.0000  2 Sn 2.83
Br  0.5000  0.5000  0.5000  8 Li 3.77, 4 Au 4.00
Sn  0.0000  0.0000  0.0000  2 Au 2.50

SG	No. 123
theoretical density	4.26	g cm⁻³
E	-2.61	eV per atom

***

No. 7
The following is a DFT calculation (PBE-GGA) of a geometry-optimized LiTcAuBr2 structure.

Cell lengths 4.6683, 5.2121, 4.6683 Å; angles 90.00, 90.00, 90.00 degrees
Closest atoms and distances in Å follow each position.
Atoms (fractional coordinates):
Au  0.5000  0.5000  0.5000  4 Tc 3.30, 8 Br 3.50
Br  0.0000  0.0000  0.5000  2 Li 2.33
Br  0.5000  0.0000  0.0000  2 Li 2.33
Tc  0.0000  0.5000  0.0000  2 Li 2.61
Li  0.0000  0.0000  0.0000  4 Br 2.33, 2 Tc 2.61

SG	No. 123
theoretical density	6.75	g cm⁻³
E	-3.13	eV per atom

***

No. 8
The following is a DFT calculation (PBE-GGA) of a geometry-optimized LiTcAuBr2 structure.

Cell lengths 5.4831, 4.7605, 5.4831 Å; angles 90.00, 90.00, 90.00 degrees
Closest atoms and distances in Å follow each position.
Atoms (fractional coordinates):
Br  0.0000  0.0000  0.5000  2 Au 2.74
Tc  0.5000  0.5000  0.5000  8 Br 3.63, 4 Li 3.88
Br  0.5000  0.0000  0.0000  2 Au 2.74
Li  0.0000  0.5000  0.0000  2 Au 2.38
Au  0.0000  0.0000  0.0000  2 Li 2.38

SG	No. 123
theoretical density	5.36	g cm⁻³
E	-2.98	eV per atom

***

No. 9
The following is a DFT calculation (PBE-GGA) of a geometry-optimized LiTeAu2Br structure.

Cell lengths 5.1024, 4.3870, 5.1024 Å; angles 90.00, 90.00, 90.00 degrees
Closest atoms and distances in Å follow each position.
Atoms (fractional coordinates):
Li  0.0000  0.0000  0.0000  2 Br 2.19
Br  0.0000  0.5000  0.0000  2 Li 2.19
Au  0.5000  0.0000  0.0000  2 Li 2.55
Au  0.0000  0.0000  0.5000  2 Li 2.55
Te  0.5000  0.5000  0.5000  8 Au 3.36, 4 Br 3.61

SG	No. 123
theoretical density	8.85	g cm⁻³
E	-2.45	eV per atom

***

No. 10
The following is a DFT calculation (PBE-GGA) of a geometry-optimized LiTl2Au2Br6 structure.

Cell lengths 7.1581, 8.2374, 8.1056 Å; angles 120.61, 90.00, 115.75 degrees
Closest atoms and distances in Å follow each position.
Atoms (fractional coordinates):
Br  0.8093  0.1367  0.7974  1 Au 2.59, 1 Li 2.66
Br  0.1907  0.8633  0.2026  1 Au 2.59, 1 Li 2.66
Li  0.5000  0.0000  0.5000  4 Br 2.66
Br  0.2580  0.5161  0.3499  1 Au 2.49
Au  0.9356  0.8711  0.7567  3 Br 2.49-2.59
Au  0.0644  0.1289  0.2433  3 Br 2.49-2.59
Br  0.7420  0.4839  0.6501  1 Au 2.49
Tl  0.7479  0.4958  0.2283  7 Br 3.40-3.69, 1 Au 3.55
Tl  0.2521  0.5042  0.7717  7 Br 3.40-3.69, 1 Au 3.55
Br  0.3274  0.1367  0.7974  1 Au 2.59, 1 Li 2.66
Br  0.6726  0.8633  0.2026  1 Au 2.59, 1 Li 2.66

SG	No. 12
theoretical density	6.03	g cm⁻³
E	-2.67	eV per atom

***

No. 11
The following is a DFT calculation (PBE-GGA) of a geometry-optimized LiTlAu2Br structure.

Cell lengths 5.2582, 6.0398, 5.2582 Å; angles 90.00, 90.00, 90.00 degrees
Closest atoms and distances in Å follow each position.
Atoms (fractional coordinates):
Au  0.0000  0.0000  0.5000  2 Br 2.63
Br  0.0000  0.0000  0.0000  4 Au 2.63
Li  0.5000  0.5000  0.5000  4 Tl 3.72, 8 Au 4.00
Tl  0.0000  0.5000  0.0000  2 Br 3.02
Au  0.5000  0.0000  0.0000  2 Br 2.63

SG	No. 123
theoretical density	6.81	g cm⁻³
E	-2.06	eV per atom

***

No. 12
The following is a DFT calculation (PBE-GGA) of a geometry-optimized Li2TlAuBr6 structure.

Cell lengths 7.7310, 7.2563, 8.2278 Å; angles 54.61, 67.76, 56.00 degrees
Closest atoms and distances in Å follow each position.
Atoms (fractional coordinates):
Li  0.9408  0.0007  0.9891  5 Br 2.62-2.90
Br  0.2958  0.7971  0.8015  1 Li 2.65, 1 Tl 2.66
Br  0.9789  0.5386  0.2601  2 Li 2.55-2.65, 1 Tl 2.84
Li  0.6535  0.4706  0.3799  4 Br 2.55-2.65
Br  0.6451  0.2255  0.2427  1 Au 2.45, 1 Li 2.64
Br  0.0424  0.4051  0.7826  1 Au 2.44
Tl  0.2978  0.3486  0.0030  5 Br 2.66-2.88
Au  0.8358  0.8202  0.5214  2 Br 2.44-2.45
Br  0.3106  0.8883  0.2635  1 Li 2.59, 1 Tl 2.69
Br  0.6607  0.1668  0.7713  2 Li 2.62-2.65, 1 Tl 2.82

SG	No. 1
theoretical density	4.78	g cm⁻³
E	-2.73	eV per atom

***

Question: What is the E in the sixth record?
Answer: -2.61 eV per atom

***

Question: The lowest theoretical density belongs to which entry?
Answer: Li2SnAuBr

***

Question: Which of these has the highest E?
Answer: LiTlAu2Br